No. 1
VASP calculation (GGA-PBE) on a relaxed PuPaV2 crystal.

The structure belongs to space group P4/mmm (No. 123); the cell edges are 4.037, 4.037 and 4.583 Å and the angles 90.00°, 90.00° and 90.00°. The distinct sites, in fractional coordinates, are Pu at (0.000, 0.000, 0.000), Pa at (0.500, 0.500, 0.000) and V at (0.000, 0.500, 0.500).

The total moment is 3.243 μB/f.u. The density of states at the Fermi level comes out at 7.92 states/eV per cell. The volume is 18.67 Å³ per atom. The calculation puts the offset from the most stable computed form at 0.00 kJ per mole of atoms. Its formation energy is 1.4 eV/f.u. The total DFT energy (no corrections) comes out at -10.156 eV per atom.


No. 2
VASP calculation (GGA-PBE) on a relaxed Pr2Ga2Co2C crystal.

The structure belongs to space group C2/m (No. 12); the cell edges are 11.099, 4.118 and 7.152 Å and the angles 90.00°, 128.94° and 90.00°. The distinct sites, in fractional coordinates, are Pr at (0.054, 0.000, 0.292), Ga at (0.173, 0.500, 0.733), Co at (0.189, 0.500, 0.087) and C at (0.000, 0.500, 0.000).

The total moment is 0.000 μB/f.u. The density of states at the Fermi level comes out at 6.98 states/eV per cell. The volume is 18.16 Å³ per atom. Its formation energy is -3.1 eV/f.u. The total DFT energy (no corrections) comes out at -6.022 eV per atom.


No. 3
VASP calculation (GGA-PBE) on a relaxed LaOsPt2 crystal.

The structure belongs to space group R3m (No. 160, hexagonal axes); the cell edges are 2.9000, 2.9000 and 29.7389 Å and the angles 90.00°, 90.00° and 120.00°. The distinct sites, in fractional coordinates, are La at (0.0000, 0.0000, 0.0000), Os at (0.0000, 0.0000, 0.2397), Pt at (0.0000, 0.0000, 0.5016) and Pt at (0.0000, 0.0000, 0.7572).

The total moment is 0.384 μB/f.u. The density of states at the Fermi level comes out at 16.80 states/eV per cell. The volume is 18.05 Å³ per atom. The calculation puts the offset from the most stable computed form at 71.08 kJ per mole of atoms. Its formation energy is 1.3 eV/f.u. The total DFT energy (no corrections) comes out at -6.744 eV per atom.